Compound: ErZrAlOs
Source: the Alexandria database
Functional: PBE
Structure: relaxed

Total magnetization (μB/atom): 0.00
Energy of formation (kcal/mol of atoms): -7.6
VASP energy (eV per atom): -7.349

a = 4.8032 Å, b = 4.8032 Å, c = 4.8032 Å
α = 60.00°, β = 60.00°, γ = 60.00°
Positions (direct):
Al1 0.7500 0.7500 0.7500
Os1 0.2500 0.2500 0.2500
Er1 0.0000 0.0000 0.0000
Zr1 0.5000 0.5000 0.5000

Compound: PrHo3In3
Source: the Alexandria database
Functional: PBE
Structure: relaxed

Total magnetization (μB/atom): 0.00
Energy of formation (kcal/mol of atoms): -7.3
Energy above the most stable polymorph in this dataset (eV/f.u.): 0.29
VASP energy (eV per atom): -4.137

a = 9.3565 Å, b = 9.3565 Å, c = 9.3565 Å
α = 90.00°, β = 90.00°, γ = 90.00°
Positions (direct):
Ho1 0.1687 0.8313 0.3313
Ho2 0.3004 0.8004 0.6996
Ho3 0.6169 0.1169 0.3831
Ho4 0.1996 0.1996 0.1996
Ho5 0.6996 0.3004 0.8004
Ho6 0.6687 0.6687 0.6687
Ho7 0.3313 0.1687 0.8313
Ho8 0.8313 0.3313 0.1687
Ho9 0.1169 0.3831 0.6169
Ho10 0.3831 0.6169 0.1169
Ho11 0.8004 0.6996 0.3004
Ho12 0.8831 0.8831 0.8831
In1 0.0053 0.1997 0.9008
In2 0.8003 0.4008 0.4947
In3 0.0992 0.5053 0.3003
In4 0.5992 0.9947 0.6997
In5 0.4947 0.8003 0.4008
In6 0.9947 0.6997 0.5992
In7 0.5053 0.3003 0.0992
In8 0.1997 0.9008 0.0053
In9 0.9008 0.0053 0.1997
In10 0.3003 0.0992 0.5053
In11 0.6997 0.5992 0.9947
In12 0.4008 0.4947 0.8003
Pr1 0.9510 0.0490 0.5490
Pr2 0.0490 0.5490 0.9510
Pr3 0.5490 0.9510 0.0490
Pr4 0.4510 0.4510 0.4510

Which of these has the highest VASP energy?
PrHo3In3

Repeat the second record exactly.
Compound: PrHo3In3
Source: the Alexandria database
Functional: PBE
Structure: relaxed

Total magnetization (μB/atom): 0.00
Energy of formation (kcal/mol of atoms): -7.3
Energy above the most stable polymorph in this dataset (eV/f.u.): 0.29
VASP energy (eV per atom): -4.137

a = 9.3565 Å, b = 9.3565 Å, c = 9.3565 Å
α = 90.00°, β = 90.00°, γ = 90.00°
Positions (direct):
Ho1 0.1687 0.8313 0.3313
Ho2 0.3004 0.8004 0.6996
Ho3 0.6169 0.1169 0.3831
Ho4 0.1996 0.1996 0.1996
Ho5 0.6996 0.3004 0.8004
Ho6 0.6687 0.6687 0.6687
Ho7 0.3313 0.1687 0.8313
Ho8 0.8313 0.3313 0.1687
Ho9 0.1169 0.3831 0.6169
Ho10 0.3831 0.6169 0.1169
Ho11 0.8004 0.6996 0.3004
Ho12 0.8831 0.8831 0.8831
In1 0.0053 0.1997 0.9008
In2 0.8003 0.4008 0.4947
In3 0.0992 0.5053 0.3003
In4 0.5992 0.9947 0.6997
In5 0.4947 0.8003 0.4008
In6 0.9947 0.6997 0.5992
In7 0.5053 0.3003 0.0992
In8 0.1997 0.9008 0.0053
In9 0.9008 0.0053 0.1997
In10 0.3003 0.0992 0.5053
In11 0.6997 0.5992 0.9947
In12 0.4008 0.4947 0.8003
Pr1 0.9510 0.0490 0.5490
Pr2 0.0490 0.5490 0.9510
Pr3 0.5490 0.9510 0.0490
Pr4 0.4510 0.4510 0.4510

The highest VASP energy belongs to which entry?
PrHo3In3

VASP energy of number 1 (ErZrAlOs)?
-7.349 eV per atom